1.
Material: VSn2SCl
Method: DFT, PBE
State: optimized geometry

## Properties
**Total moment**: 0.0 μB/f.u.
**VASP energy**: -4.300 eV per atom

Unit cell a=5.6279 b=4.3038 c=5.6279 alpha=90.00 beta=90.00 gamma=90.00
Last column: nearest neighbours and their distance in Å.
Atoms (fractional coordinates):
V  0.0000  0.5000  0.0000  2 S 2.15
S  0.0000  0.0000  0.0000  2 V 2.15
Cl  0.5000  0.5000  0.5000  8 Sn 3.54
Sn  0.0000  0.0000  0.5000  2 S 2.81
Sn  0.5000  0.0000  0.0000  2 S 2.81

2.
Material: Sr2LiGe
Method: DFT, PBE
State: optimized geometry

## Properties
**Total moment**: 0.0 μB/f.u.
**Energy relative to the elements**: 0.00 eV per atom

Unit cell a=4.1673 b=4.1673 c=11.5056 alpha=79.57 beta=79.57 gamma=60.00
Last column: nearest neighbours and their distance in Å.
Atoms (fractional coordinates):
Sr  0.8920  0.8920  0.3239  3 Ge 3.12
Sr  0.1080  0.1080  0.6761  3 Ge 3.12
Li  0.0000  0.0000  0.0000  2 Sr 3.64
Ge  0.5000  0.5000  0.5000  6 Sr 3.12

no.,ρ (g/cm3)
1,4.34
2,2.50